1.
Pm3MgZn8 | GGA-PBE | relaxed

Values from the calculation:
SG ... R3m (160)
Crystal system ... trigonal
M_tot ... 0.00 μB/cell
ΔH_f (0 K) ... -0.28 eV/atom

abc: 5.501 5.501 9.515
angles: 73.20 73.20 60.00
Sites, in units of the cell vectors:
Zn 0.439 0.439 0.188
Zn 0.939 0.437 0.685
Zn 0.439 0.934 0.188
Zn 0.187 0.187 0.439
Zn 0.688 0.688 0.935
Zn 0.934 0.439 0.188
Zn 0.939 0.939 0.685
Zn 0.437 0.939 0.685
Pm 0.503 0.503 0.492
Pm 0.996 0.996 0.012
Pm 0.377 0.377 0.870
Mg 0.873 0.873 0.381



2.
AlFeAs2 | GGA-PBE | relaxed

Values from the calculation:
SG ... P2/m (10)
Crystal system ... monoclinic
M_tot ... 2.76 μB/cell
ΔH_f (0 K) ... 0.03 eV/atom

abc: 3.627 6.328 5.204
angles: 34.97 90.00 90.00
Sites, in units of the cell vectors:
As 0.000 0.000 0.000
As 0.500 0.500 0.000
Fe 0.500 0.500 0.500
Al 0.000 0.000 0.500